# 1
## NaZrAg2Cl8 (PBE)

Data for an optimized crystal structure of NaZrAg2Cl8.

Output
Space group: P2/m, No. 10
DOS(E_F): 6.50 states/eV per cell
ΔE_f (raw): -1.182 eV per atom

```
NaZrAg2Cl8
1.0
6.2952 0.0000 0.0000
0.0000 7.9005 0.0000
-0.9627 0.0000 6.5819
Na Zr Ag Cl
1 1 2 8
Cartesian
0.0000 0.0000 0.0000 Na
0.0000 3.9503 0.0000 Zr
2.6663 1.8950 3.2910 Ag
2.6663 6.0055 3.2910 Ag
0.5084 2.2125 5.6518 Cl
0.5084 5.6880 5.6518 Cl
1.2252 0.0000 2.4473 Cl
1.3958 3.9503 2.1971 Cl
3.9368 3.9503 4.3848 Cl
4.1073 0.0000 4.1346 Cl
4.8242 2.2125 0.9301 Cl
4.8242 5.6880 0.9301 Cl
```

***

# 2
## NbAgCl2 (PBE)

Data for an optimized crystal structure of NbAgCl2.

Output
Space group: I-42d, No. 122
DOS(E_F): 3.08 states/eV per cell
ΔE_f (raw): -0.076 eV per atom

```
NbAgCl2
1.0
-4.3836 4.3836 2.8197
4.3836 -4.3836 2.8197
4.3836 4.3836 -2.8197
Nb Ag Cl
2 2 4
Cartesian
0.0000 0.0000 0.0000 Nb
0.0000 4.3836 1.4098 Nb
4.3836 0.0000 1.4098 Ag
0.0000 0.0000 2.8197 Ag
0.9240 2.1918 0.7049 Cl
-2.1918 3.4596 2.1147 Cl
-0.9240 6.5754 0.7049 Cl
2.1918 5.3075 2.1147 Cl
```

***

# 3
## Nb3AgCl (PBE)

Data for an optimized crystal structure of Nb3AgCl.

Output
Space group: Pm-3m, No. 221
DOS(E_F): 6.20 states/eV per cell
ΔE_f (raw): 0.713 eV per atom

```
Nb3AgCl
1.0
4.5745 0.0000 0.0000
0.0000 4.5745 0.0000
0.0000 0.0000 4.5745
Nb Ag Cl
3 1 1
Cartesian
0.0000 0.0000 2.2873 Nb
0.0000 2.2873 0.0000 Nb
2.2873 0.0000 0.0000 Nb
2.2873 2.2873 2.2873 Ag
0.0000 0.0000 0.0000 Cl
```

***

# 4
## NbAgCl2 (PBE)

Data for an optimized crystal structure of NbAgCl2.

Output
Space group: R-3m, No. 166
DOS(E_F): 2.75 states/eV per cell
ΔE_f (raw): -0.069 eV per atom

```
NbAgCl2
1.0
1.6282 0.9400 8.8313
-1.6282 0.9400 8.8313
0.0000 -1.8800 8.8313
Nb Ag Cl
1 1 2
Cartesian
0.0000 0.0000 0.0000 Nb
0.0000 0.0000 13.2470 Ag
0.0000 0.0000 2.4145 Cl
0.0000 0.0000 24.0795 Cl
```

***

# 5
## NbAgCl2 (PBE)

Data for an optimized crystal structure of NbAgCl2.

Output
Space group: Fm-3m, No. 225
DOS(E_F): 2.76 states/eV per cell
ΔE_f (raw): 0.263 eV per atom

```
NbAgCl2
1.0
0.0000 3.2892 3.2892
3.2892 0.0000 3.2892
3.2892 3.2892 0.0000
Nb Ag Cl
1 1 2
Cartesian
0.0000 0.0000 0.0000 Nb
3.2892 3.2892 3.2892 Ag
1.6446 1.6446 1.6446 Cl
4.9338 4.9338 4.9338 Cl
```

***

# 6
## NbAg3Cl8 (PBE)

Data for an optimized crystal structure of NbAg3Cl8.

Output
Space group: C222, No. 21
ΔE_f (raw): -0.812 eV per atom

```
NbAg3Cl8
1.0
4.3775 -4.3903 0.0000
4.3775 4.3903 0.0000
0.0000 0.0000 9.0171
Nb Ag Cl
1 3 8
Cartesian
0.0000 0.0000 0.0000 Nb
0.0000 0.0000 4.5085 Ag
2.1887 2.1951 3.1088 Ag
2.1887 -2.1951 5.9083 Ag
1.7118 0.0044 7.3073 Cl
1.7118 -0.0044 1.7098 Cl
4.3775 2.0519 0.0000 Cl
4.3775 1.9760 4.5085 Cl
4.3775 -1.9760 4.5085 Cl
4.3775 -2.0519 0.0000 Cl
7.0432 0.0044 1.7098 Cl
7.0432 -0.0044 7.3073 Cl
```

***

# 7
## NbAg2Cl (PBE)

Data for an optimized crystal structure of NbAg2Cl.

Output
Space group: I-42d, No. 122
DOS(E_F): 7.31 states/eV per cell
ΔE_f (raw): 0.512 eV per atom

```
NbAg2Cl
1.0
-3.9441 3.9441 2.6282
3.9441 -3.9441 2.6282
3.9441 3.9441 -2.6282
Nb Ag Cl
2 4 2
Cartesian
0.0000 0.0000 0.0000 Nb
0.0000 3.9441 1.3141 Nb
1.9720 2.0370 -0.6570 Ag
5.8512 1.9720 0.6570 Ag
1.9720 1.9071 1.9711 Ag
-1.9071 1.9720 3.2852 Ag
3.9441 0.0000 1.3141 Cl
0.0000 0.0000 2.6282 Cl
```

***

# 8
## Nb3AgCl (PBE)

Data for an optimized crystal structure of Nb3AgCl.

Output
Space group: Pm-3m, No. 221
DOS(E_F): 6.23 states/eV per cell
ΔE_f (raw): 1.899 eV per atom

```
Nb3AgCl
1.0
5.0079 0.0000 0.0000
0.0000 5.0079 0.0000
0.0000 0.0000 5.0079
Nb Ag Cl
3 1 1
Cartesian
0.0000 0.0000 2.5039 Nb
0.0000 2.5039 0.0000 Nb
2.5039 0.0000 0.0000 Nb
0.0000 0.0000 0.0000 Ag
2.5039 2.5039 2.5039 Cl
```

***

# 9
## NbAg6Cl12 (PBE)

Data for an optimized crystal structure of NbAg6Cl12.

Output
Space group: R-3, No. 148
DOS(E_F): 12.70 states/eV per cell
ΔE_f (raw): -0.662 eV per atom

```
NbAg6Cl12
1.0
5.8098 3.3543 4.1520
-5.8098 3.3543 4.1520
0.0000 -6.7086 4.1520
Nb Ag Cl
1 6 12
Cartesian
0.0000 0.0000 0.0000 Nb
-1.2465 -2.4911 4.6555 Ag
-1.5341 2.3250 4.6555 Ag
-2.7806 -0.1660 7.8005 Ag
2.7806 0.1660 4.6555 Ag
1.5341 -2.3250 7.8005 Ag
1.2465 2.4911 7.8005 Ag
-5.0056 -1.5878 6.9135 Cl
-1.1277 -5.1289 5.5425 Cl
-2.3979 -0.0700 4.7980 Cl
-3.8779 3.5411 5.5425 Cl
1.2596 -2.0416 4.7980 Cl
-1.1383 -2.1116 7.6580 Cl
1.1383 2.1116 4.7980 Cl
-1.2596 2.0416 7.6580 Cl
3.8779 -3.5411 6.9135 Cl
2.3979 0.0700 7.6580 Cl
1.1277 5.1289 6.9135 Cl
5.0056 1.5878 5.5425 Cl
```

***

# 10
## NbAg3Cl9 (PBE)

Data for an optimized crystal structure of NbAg3Cl9.

Output
Space group: Cc, No. 9
DOS(E_F): 7.01 states/eV per cell
ΔE_f (raw): -0.748 eV per atom

```
NbAg3Cl9
1.0
8.8256 -5.0631 0.0000
8.8256 5.0631 0.0000
-8.5005 0.0000 9.9168
Nb Ag Cl
2 6 18
Cartesian
4.5753 2.5645 4.9584 Nb
8.8256 -2.5645 0.0000 Nb
-1.2027 3.6345 8.8119 Ag
1.2377 3.3771 6.6308 Ag
3.9658 0.2828 9.7720 Ag
3.0476 -3.6345 3.8535 Ag
5.4879 -3.3771 1.6724 Ag
8.2161 -0.2828 4.8136 Ag
3.2649 4.7054 5.8407 Cl
4.1319 3.4869 2.8324 Cl
1.1245 3.0113 9.1108 Cl
2.3827 1.5473 4.8960 Cl
6.5077 3.8003 5.1784 Cl
4.6464 2.0193 7.2531 Cl
5.5790 0.6396 4.1487 Cl
11.8308 2.1406 1.3162 Cl
-1.8676 -1.5473 9.8544 Cl
9.4297 1.5576 3.8716 Cl
1.3288 -0.6396 9.1071 Cl
-0.1184 -3.4869 7.7908 Cl
5.3748 -3.0113 4.1524 Cl
8.8967 -2.0193 2.2947 Cl
5.1794 -1.5576 8.8300 Cl
7.5152 -4.7054 0.8823 Cl
7.5806 -2.1406 6.2745 Cl
10.7579 -3.8003 0.2200 Cl
```

***

# 11
## NbAgCl2 (PBE)

Data for an optimized crystal structure of NbAgCl2.

Output
Space group: R-3m, No. 166
DOS(E_F): 5.80 states/eV per cell
ΔE_f (raw): -0.550 eV per atom

```
NbAgCl2
1.0
1.5617 0.9016 11.1420
-1.5617 0.9016 11.1420
0.0000 -1.8033 11.1420
Nb Ag Cl
1 1 2
Cartesian
0.0000 0.0000 0.0000 Nb
0.0000 0.0000 16.7130 Ag
0.0000 0.0000 12.9392 Cl
0.0000 0.0000 20.4869 Cl
```

***

# 12
## Nb2AgCl8 (PBE)

Data for an optimized crystal structure of Nb2AgCl8.

Output
Space group: C2/m, No. 12
DOS(E_F): 5.02 states/eV per cell
ΔE_f (raw): -1.029 eV per atom

```
Nb2AgCl8
1.0
7.5121 -3.3151 0.0000
7.5121 3.3151 0.0000
-2.6606 0.0000 6.3391
Nb Ag Cl
2 1 8
Cartesian
2.4094 0.0000 3.0977 Nb
9.9542 0.0000 3.2415 Nb
7.5121 0.0000 0.0000 Ag
4.2803 1.6303 2.8693 Cl
1.9100 0.0000 0.8335 Cl
2.5931 0.0000 5.5782 Cl
8.0833 1.6303 3.4698 Cl
4.2803 -1.6303 2.8693 Cl
9.7705 0.0000 0.7609 Cl
10.4536 0.0000 5.5056 Cl
8.0833 -1.6303 3.4698 Cl
```

***

# 13
## NbAg2Cl (PBE)

Data for an optimized crystal structure of NbAg2Cl.

Output
Space group: Fm-3m, No. 225
DOS(E_F): 4.82 states/eV per cell
ΔE_f (raw): 0.825 eV per atom

```
NbAg2Cl
1.0
0.0000 3.4165 3.4165
3.4165 0.0000 3.4165
3.4165 3.4165 0.0000
Nb Ag Cl
1 2 1
Cartesian
0.0000 0.0000 0.0000 Nb
1.7083 1.7083 1.7083 Ag
5.1248 5.1248 5.1248 Ag
3.4165 3.4165 3.4165 Cl
```

***

# 14
## NbNiAgCl2 (PBE)

Data for an optimized crystal structure of NbNiAgCl2.

Output
Space group: P4/mmm, No. 123
DOS(E_F): 9.01 states/eV per cell
ΔE_f (raw): 1.071 eV per atom

```
NbNiAgCl2
1.0
4.8866 0.0000 0.0000
0.0000 4.8866 0.0000
0.0000 0.0000 4.9514
Nb Ni Ag Cl
1 1 1 2
Cartesian
0.0000 0.0000 0.0000 Nb
2.4433 2.4433 0.0000 Ni
2.4433 2.4433 2.4757 Ag
0.0000 2.4433 2.4757 Cl
2.4433 0.0000 2.4757 Cl
```

***

# 15
## NbAgP2Cl (PBE)

Data for an optimized crystal structure of NbAgP2Cl.

Output
Space group: P4/mmm, No. 123
DOS(E_F): 6.97 states/eV per cell
ΔE_f (raw): 1.194 eV per atom

```
NbAgP2Cl
1.0
4.7461 0.0000 0.0000
0.0000 4.7461 0.0000
0.0000 0.0000 4.7311
Nb Ag P Cl
1 1 2 1
Cartesian
0.0000 0.0000 0.0000 Nb
2.3731 2.3731 2.3655 Ag
0.0000 2.3731 2.3655 P
2.3731 0.0000 2.3655 P
2.3731 2.3731 0.0000 Cl
```

***

# 16
## NbAgP2Cl (PBE)

Data for an optimized crystal structure of NbAgP2Cl.

Output
Space group: P4/mmm, No. 123
DOS(E_F): 2.71 states/eV per cell
ΔE_f (raw): 0.181 eV per atom

```
NbAgP2Cl
1.0
4.8538 0.0000 0.0000
0.0000 4.8538 0.0000
0.0000 0.0000 4.9223
Nb Ag P Cl
1 1 2 1
Cartesian
0.0000 0.0000 0.0000 Nb
2.4269 2.4269 2.4611 Ag
0.0000 2.4269 0.0000 P
2.4269 0.0000 0.0000 P
0.0000 0.0000 2.4611 Cl
```

***

# 17
## Nb2AgPbCl (PBE)

Data for an optimized crystal structure of Nb2AgPbCl.

Output
Space group: P4/mmm, No. 123
DOS(E_F): 8.72 states/eV per cell
ΔE_f (raw): 1.660 eV per atom

```
Nb2AgPbCl
1.0
5.5161 0.0000 0.0000
0.0000 5.5161 0.0000
0.0000 0.0000 5.3784
Nb Ag Pb Cl
2 1 1 1
Cartesian
0.0000 2.7580 0.0000 Nb
2.7580 0.0000 0.0000 Nb
0.0000 0.0000 2.6892 Ag
2.7580 2.7580 0.0000 Pb
2.7580 2.7580 2.6892 Cl
```

***

# 18
## RbNbAgCl6 (PBE)

Data for an optimized crystal structure of RbNbAgCl6.

Output
Space group: P-31c, No. 163
DOS(E_F): 13.72 states/eV per cell
ΔE_f (raw): -1.228 eV per atom

```
RbNbAgCl6
1.0
6.9956 0.0000 0.0000
-3.4978 6.0584 0.0000
0.0000 0.0000 13.9224
Rb Nb Ag Cl
2 2 2 12
Cartesian
0.0000 0.0000 0.0000 Rb
0.0000 0.0000 6.9612 Rb
0.0000 4.0389 3.4806 Nb
3.4978 2.0195 10.4418 Nb
0.0000 4.0389 10.4418 Ag
3.4978 2.0195 3.4806 Ag
-1.1133 2.3840 2.0716 Cl
-1.9899 3.9022 4.8896 Cl
1.1133 2.3840 4.8896 Cl
-0.8765 5.8305 2.0716 Cl
2.6213 0.2278 9.0328 Cl
1.5080 2.1562 11.8508 Cl
1.9899 3.9022 2.0716 Cl
0.8765 5.8305 4.8896 Cl
4.3743 0.2278 11.8508 Cl
2.3845 3.6744 9.0328 Cl
5.4877 2.1562 9.0328 Cl
4.6111 3.6744 11.8508 Cl
```

***

# 19
## NbAgS2Cl (PBE)

Data for an optimized crystal structure of NbAgS2Cl.

Output
Space group: P4/mmm, No. 123
DOS(E_F): 5.53 states/eV per cell
ΔE_f (raw): 0.733 eV per atom

```
NbAgS2Cl
1.0
4.8743 0.0000 0.0000
0.0000 4.8743 0.0000
0.0000 0.0000 4.6875
Nb Ag S Cl
1 1 2 1
Cartesian
0.0000 0.0000 0.0000 Nb
2.4372 2.4372 2.3437 Ag
0.0000 2.4372 2.3437 S
2.4372 0.0000 2.3437 S
2.4372 2.4372 0.0000 Cl
```

***

# 20
## NbAgS2Cl (PBE)

Data for an optimized crystal structure of NbAgS2Cl.

Output
Space group: P4/mmm, No. 123
DOS(E_F): 2.58 states/eV per cell
ΔE_f (raw): -0.315 eV per atom

```
NbAgS2Cl
1.0
4.8360 0.0000 0.0000
0.0000 4.8360 0.0000
0.0000 0.0000 4.8841
Nb Ag S Cl
1 1 2 1
Cartesian
0.0000 0.0000 0.0000 Nb
2.4180 2.4180 2.4421 Ag
0.0000 2.4180 0.0000 S
2.4180 0.0000 0.0000 S
0.0000 0.0000 2.4421 Cl
```